Entry 1:
Computed, not measured: an optimized crystal structure of Ag6SeI2Cl2 at the PBE-GGA level of DFT.

space-group type: C2/m
crystal system: monoclinic

Geometry as extended XYZ:
```
11
Lattice="7.126 0.880 -0.146 -2.757 6.630 -0.146 -1.826 -3.138 7.005" Properties=species:S:1:pos:R:3 pbc="T T T"
Ag 2.179 3.745 2.984
Ag 4.746 4.497 1.412
I -0.517 5.327 -0.146
Se -0.913 -1.569 3.502
Ag 1.564 6.348 1.412
Ag -2.202 -0.126 5.300
Cl -0.287 3.093 3.356
Ag 0.365 0.627 3.729
I 4.886 2.183 -0.146
Ag 0.979 -1.977 5.300
Cl 2.831 1.279 3.356
```

Entry 2:
Computed, not measured: an optimized crystal structure of Ag6SeICl2 at the PBE-GGA level of DFT.

space-group type: C2/m
DOS(E_F): 1.9 states/eV/f.u.
crystal system: monoclinic

Geometry as extended XYZ:
```
10
Lattice="-6.382 0.994 3.098 -1.529 -5.690 -1.324 5.243 0.730 4.578" Properties=species:S:1:pos:R:3 pbc="T T T"
Se -0.764 -2.845 -0.662
Ag -2.111 -0.456 4.395
Ag -4.778 -1.098 3.381
Ag -5.546 -3.956 2.716
Cl -2.818 -3.200 3.233
Ag 2.879 -0.010 3.636
Ag -0.556 -3.510 1.957
Ag 2.111 -2.868 2.971
Cl 0.151 -0.767 3.119
I -3.191 0.497 1.549
```

Entry 3:
Computed, not measured: an optimized crystal structure of SrAgICl2 at the PBE-GGA level of DFT.

space-group type: P2_1/m
DOS(E_F): 0.0 states/eV/f.u.
crystal system: monoclinic

Geometry as extended XYZ:
```
10
Lattice="4.811 0.000 0.000 0.000 8.039 1.297 0.000 -1.357 8.483" Properties=species:S:1:pos:R:3 pbc="T T T"
Cl 1.203 2.017 4.083
I 1.203 6.808 2.562
Sr 3.608 4.530 8.654
Cl 3.608 4.665 5.697
Cl 3.608 3.545 1.918
Ag 3.608 1.919 5.267
Sr 1.203 2.151 1.125
Cl 1.203 3.136 7.862
Ag 1.203 4.763 4.513
I 3.608 -0.126 7.218
```

Entry 4:
Computed, not measured: an optimized crystal structure of AgTeI2Cl at the PBE-GGA level of DFT.

space-group type: P4/mmm
ΔE to the lowest computed polymorph: 0 meV/atom
DOS(E_F): 7.4 states/eV/f.u.
crystal system: tetragonal

Geometry as extended XYZ:
```
5
Lattice="5.555 0.000 0.000 0.000 5.555 0.000 0.000 0.000 5.641" Properties=species:S:1:pos:R:3 pbc="T T T"
Te 0.000 0.000 2.820
I 2.777 0.000 0.000
Ag 0.000 0.000 0.000
I 0.000 2.777 0.000
Cl 2.777 2.777 2.820
```

Entry 5:
Computed, not measured: an optimized crystal structure of AgTeI2Cl at the PBE-GGA level of DFT.

space-group type: P4/mmm
ΔE to the lowest computed polymorph: 244 meV/atom
DOS(E_F): 3.4 states/eV/f.u.
crystal system: tetragonal

Geometry as extended XYZ:
```
5
Lattice="5.688 0.000 0.000 0.000 5.688 0.000 0.000 0.000 5.506" Properties=species:S:1:pos:R:3 pbc="T T T"
Ag 2.844 2.844 2.753
I 2.844 0.000 0.000
Cl 0.000 0.000 0.000
I 0.000 2.844 0.000
Te 0.000 0.000 2.753
```

Entry 6:
Computed, not measured: an optimized crystal structure of AgTe2ICl at the PBE-GGA level of DFT.

space-group type: P4/mmm
ΔE to the lowest computed polymorph: 0 meV/atom
DOS(E_F): 6.2 states/eV/f.u.
crystal system: tetragonal

Geometry as extended XYZ:
```
5
Lattice="-0.122 -4.325 -3.344 4.970 1.305 -1.871 2.309 -3.123 3.956" Properties=species:S:1:pos:R:3 pbc="T T T"
Ag 0.000 0.000 0.000
Cl 3.578 -3.072 -0.629
Te 2.485 0.653 -0.935
I 1.155 -1.562 1.978
Te -0.061 -2.163 -1.672
```

Number 1: total magnetization 0.0 μB/cell, calculated density 5105 kg/m³, E -2.702 eV per atom. Number 2: total magnetization 0.0 μB/cell, calculated density 6160 kg/m³, E -2.704 eV per atom. Number 3: total magnetization 0.0 μB/cell, calculated density 3881 kg/m³, E -3.400 eV per atom. Number 4: total magnetization 1.2 μB/cell, calculated density 5006 kg/m³, E -1.813 eV per atom. Number 5: total magnetization 0.0 μB/cell, calculated density 4892 kg/m³, E -1.569 eV per atom. Number 6: total magnetization 0.0 μB/cell, calculated density 5263 kg/m³, E -2.047 eV per atom.